Material: TlAg2Os
Method: DFT, GGA-PBEsol
State: relaxed

Cell: 2.780 4.394 5.654 Å, 90.00 90.00 90.00°
Sites, in units of the cell vectors:
1 Tl 0.000 0.000 0.000
2 Ag 0.500 0.500 0.266
3 Ag 0.500 0.500 0.734
4 Os 0.000 0.000 0.500

Output
The relative energy among the computed polymorphs comes out at 0.00 eV/f.u. The formation energy is 0.69 eV per atom.

Material: Gd2C3
Method: DFT, GGA-PBEsol
State: relaxed

Cell: 7.123 7.123 7.123 Å, 109.47 109.47 109.47°
Sites, in units of the cell vectors:
1 Gd 0.000 0.398 0.500
2 Gd 0.000 0.898 0.500
3 Gd 0.102 0.102 0.102
4 Gd 0.398 0.500 0.000
5 Gd 0.500 0.000 0.398
6 Gd 0.500 0.000 0.898
7 Gd 0.602 0.602 0.602
8 Gd 0.898 0.500 0.000
9 C 0.043 0.750 0.793
10 C 0.207 0.750 0.957
11 C 0.250 0.543 0.293
12 C 0.250 0.707 0.457
13 C 0.293 0.250 0.543
14 C 0.457 0.250 0.707
15 C 0.543 0.293 0.250
16 C 0.707 0.457 0.250
17 C 0.750 0.793 0.043
18 C 0.750 0.957 0.207
19 C 0.793 0.043 0.750
20 C 0.957 0.207 0.750

Output
The formation energy is -0.28 eV per atom.

Material: Ba2TaH
Method: DFT, GGA-PBEsol
State: relaxed

Cell: 6.661 6.661 6.661 Å, 108.86 108.86 110.69°
Sites, in units of the cell vectors:
1 Ba 0.035 0.625 0.910
2 Ba 0.375 0.285 0.410
3 Ba 0.715 0.125 0.090
4 Ba 0.875 0.965 0.590
5 Ta 0.250 0.750 0.500
6 Ta 0.500 0.500 0.000
7 H 0.000 0.000 0.000
8 H 0.750 0.250 0.500

Output
For the raw total energy, the calculation gives -4.061 eV/atom.